Zn2AgIr | the Alexandria database | PBE-GGA | relaxed; D(E_F) = 0.909 states/eV per atom; calculated density = 11.57 g cm⁻³; energy relative to the elements = 32 kJ/mol of formula units; calculated volume = 61.9 Å³ per cell
1.0
-3.254 7.941 -3.410
-5.696 6.712 -2.788
-4.299 8.132 -0.816
Zn Ag Ir
2 1 1
Direct
0.251 0.251 0.251 Zn
0.003 0.003 0.003 Zn
0.501 0.501 0.501 Ag
0.745 0.745 0.745 Ir

=====

HfTc2HgS | the Alexandria database | PBE-GGA | relaxed; formation energy without anion corrections = 1719 meV/atom; D(E_F) = 1.088 states/eV per atom; calculated density = 7.85 g cm⁻³; calculated volume = 128.5 Å³ per cell
1.0
4.891 0.000 0.000
0.000 5.370 0.000
0.000 0.000 4.891
Hf S Tc Hg
1 1 2 1
Direct
0.000 0.000 0.000 Hf
0.500 0.500 0.500 S
0.000 0.000 0.500 Tc
0.500 0.000 0.000 Tc
0.000 0.500 0.000 Hg

=====

BaLa2Pb | the Alexandria database | PBE-GGA | relaxed; D(E_F) = 1.342 states/eV per atom; calculated density = 7.25 g cm⁻³; energy relative to the elements = -80 kJ/mol of formula units; calculated volume = 142.6 Å³ per cell
1.0
-4.494 4.553 -0.860
-5.913 -2.395 0.978
5.429 -0.187 3.486
La Pb Ba
2 1 1
Direct
0.000 0.000 0.000 La
0.500 0.500 0.000 La
0.250 0.750 0.500 Pb
0.750 0.250 0.500 Ba

=====

ZrScRh2 | the Alexandria database | PBE-GGA | relaxed; D(E_F) = 0.689 states/eV per atom; calculated density = 7.72 g cm⁻³; energy relative to the elements = 22 kJ/mol of formula units; calculated volume = 73.5 Å³ per cell
1.0
4.823 -1.461 -2.848
-1.114 4.915 2.848
-3.322 -0.151 4.738
Sc Zr Rh
1 1 2
Direct
0.000 0.000 0.000 Sc
0.000 0.500 0.500 Zr
0.000 0.752 0.752 Rh
0.000 0.248 0.248 Rh

=====

Tl3RuRh3O8 | the Alexandria database | PBE-GGA | relaxed; formation energy without anion corrections = -669 meV/atom; D(E_F) = 0.420 states/eV per atom; calculated density = 8.55 g cm⁻³; calculated volume = 223.5 Å³ per cell
1.0
6.363 -0.001 0.000
-3.182 5.514 -0.027
0.000 -3.654 6.388
Tl O Rh Ru
3 8 3 1
Direct
0.000 0.000 0.000 Tl
0.000 0.500 0.000 Tl
0.500 0.500 0.000 Tl
0.215 0.430 0.652 O
0.277 0.062 0.348 O
0.723 0.938 0.652 O
0.717 0.435 0.652 O
0.785 0.062 0.348 O
0.785 0.570 0.348 O
0.283 0.565 0.348 O
0.215 0.938 0.652 O
0.000 0.500 0.500 Rh
0.500 0.500 0.500 Rh
0.500 0.000 0.500 Rh
0.000 0.000 0.500 Ru

=====

Nd2IrPt | the Alexandria database | PBE-GGA | relaxed; D(E_F) = 0.487 states/eV per atom; calculated density = 10.93 g cm⁻³; energy relative to the elements = -281 kJ/mol of formula units; calculated volume = 102.6 Å³ per cell
1.0
-2.450 -1.030 3.220
-2.684 -3.179 -0.352
3.061 -5.682 3.219
Nd Pt Ir
2 1 1
Direct
0.746 0.746 0.761 Nd
0.254 0.254 0.239 Nd
0.500 0.500 0.500 Pt
0.000 0.000 0.000 Ir

=====

Sc2SbRh4 | the Alexandria database | PBE-GGA | relaxed; formation energy without anion corrections = -582 meV/atom; D(E_F) = 0.527 states/eV per atom; excess energy over the best structure of this formula in the dataset = 0 meV/atom; calculated density = 8.36 g cm⁻³; calculated volume = 123.9 Å³ per cell
1.0
4.242 0.000 1.325
1.914 3.786 1.325
-0.072 -0.044 7.683
Rh Sc Sb
4 2 1
Direct
0.875 0.875 0.374 Rh
0.125 0.125 0.626 Rh
0.374 0.374 0.878 Rh
0.626 0.626 0.122 Rh
0.244 0.244 0.269 Sc
0.756 0.756 0.731 Sc
0.000 0.000 0.000 Sb

=====

BeAl2Se | the Alexandria database | PBE-GGA | relaxed; formation energy without anion corrections = 205 meV/atom; D(E_F) = 0.109 states/eV per atom; excess energy over the best structure of this formula in the dataset = 158 meV/atom; calculated density = 2.67 g cm⁻³; calculated volume = 176.3 Å³ per cell
1.0
-2.939 5.059 -0.382
-4.932 -2.953 -1.156
-4.976 0.828 4.246
Be Se Al
2 2 4
Direct
0.500 0.500 0.000 Be
0.250 0.750 0.500 Be
0.750 0.250 0.500 Se
0.000 0.000 0.000 Se
0.875 0.846 0.750 Al
0.154 0.625 0.250 Al
0.596 0.125 0.250 Al
0.375 0.404 0.750 Al